P | CeHf2Ir: optimized geometry, PBE.

Lattice parameters (Å, degrees): 4.3608 4.3608 17.8612 90.00 90.00 120.00
Space group R-3m (No. 166, hexagonal axes)
Unique sites:
Ce  0.0000  0.0000  0.0000
Hf  0.0000  0.0000  0.2181
Ir  0.0000  0.0000  0.5000



Q | CeHf2Ir: optimized geometry, PBE.

Lattice parameters (Å, degrees): 3.319 3.319 7.756 90.00 90.00 90.00
Space group P4/mmm (No. 123)
Unique sites:
Ce  0.000  0.000  0.000
Hf  0.500  0.500  0.298
Ir  0.000  0.000  0.500



R | CeHf2Ir: optimized geometry, PBE.

Lattice parameters (Å, degrees): 4.6370 4.6370 15.4484 90.00 90.00 120.00
Space group R3m (No. 160, hexagonal axes)
Unique sites:
Ce  0.0000  0.0000  0.0000
Hf  0.0000  0.0000  0.2112
Hf  0.0000  0.0000  0.4381
Ir  0.0000  0.0000  0.8201



Most stable structure - Q; separation to the second - 176 meV per atom.



P | LiCe2Hf: optimized geometry, PBE.

Lattice parameters (Å, degrees): 3.0492 3.0492 35.3977 90.00 90.00 120.00
Space group R-3m (No. 166, hexagonal axes)
Unique sites:
Li  0.0000  0.0000  0.0000
Ce  0.0000  0.0000  0.4168
Hf  0.0000  0.0000  0.5000



Q | LiCe2Hf: optimized geometry, PBE.

Lattice parameters (Å, degrees): 3.127 3.127 10.203 90.00 90.00 90.00
Space group P4/mmm (No. 123)
Unique sites:
Li  0.000  0.000  0.000
Ce  0.500  0.500  0.259
Hf  0.000  0.000  0.500



Most stable structure - Q; separation to the second - 111 meV per atom.



P | LiCeHf: optimized geometry, PBE.

Lattice parameters (Å, degrees): 3.064 3.064 14.697 90.00 90.00 90.00
Space group I4mm (No. 107)
Unique sites:
Li  0.000  0.000  0.000
Ce  0.000  0.000  0.320
Hf  0.000  0.000  0.657



Q | LiCeHf: optimized geometry, PBE.

Lattice parameters (Å, degrees): 3.127 3.127 14.657 90.00 90.00 90.00
Space group P4/nmm (No. 129, origin choice 2)
Unique sites:
Li  0.250  0.250  0.070
Ce  0.250  0.250  0.747
Hf  0.250  0.250  0.424



Most stable structure - Q; separation to the second - 96 meV per atom.